No. 1
DFT (GGA-PBE) results for a relaxed structure of Zr3CuPb.

Output
Offset from the most stable computed form (eV/atom): 1.175
DFT formation energy (kJ per mole of atoms): 136.18
ρ (kg/m³): 5829
Density of states at the Fermi level (states/eV per atom): 1.21

a = 5.3726 Å, b = 5.3726 Å, c = 5.3726 Å
α = 90.00°, β = 90.00°, γ = 90.00°
Sites, in units of the cell vectors:
Zr  0.0000  0.0000  0.5000
Zr  0.0000  0.5000  0.0000
Zr  0.5000  0.0000  0.0000
Cu  0.5000  0.5000  0.5000
Pb  0.0000  0.0000  0.0000



No. 2
DFT (GGA-PBE) results for a relaxed structure of ReSiPt2.

Output
Formation energy without anion corrections (kJ per mole of atoms): -21
ρ (kg/m³): 16845
Density of states at the Fermi level (states/eV per atom): 0.47

a = 9.2102 Å, b = 2.7266 Å, c = 4.9763 Å
α = 90.00°, β = 107.51°, γ = 90.00°
Sites, in units of the cell vectors:
Re  0.0000  0.0000  0.0000
Re  0.5000  0.5000  0.0000
Si  0.2079  0.5000  0.3326
Si  0.7079  0.0000  0.3326
Pt  0.2340  0.0000  0.7843
Pt  0.4457  0.0000  0.4778
Pt  0.7340  0.5000  0.7843
Pt  0.9457  0.5000  0.4778